1.
! ScMo, optimized geometry, DFT PBE-GGA; values from VASP
&SYSTEM
  ibrav = 0, nat = 2, ntyp = 2
/
ATOMIC_SPECIES
Mo 95.94 Mo.upf
Sc 44.96 Sc.upf
ATOMIC_POSITIONS crystal
Mo 0.000 0.000 0.000
Sc 0.500 0.500 0.500
CELL_PARAMETERS angstrom
-0.337 -3.816 0.253
1.009 -1.806 3.234
-2.695 -1.543 2.258
! Spin magnetization (μB/f.u.): 0.00
! Raw total energy (eV per cell): -14.95
! Volume (Å³/f.u.): 40.0
! ΔH_f (0 K) (meV/atom): 1106.1
! Energy above the most stable polymorph in this dataset (kJ/mol of atoms): 109.1
! SG: No. 225

***

2.
! Zr2SiSn2, optimized geometry, DFT PBE-GGA; values from VASP
&SYSTEM
  ibrav = 0, nat = 10, ntyp = 3
/
ATOMIC_SPECIES
Si 28.09 Si.upf
Sn 118.71 Sn.upf
Zr 91.22 Zr.upf
ATOMIC_POSITIONS crystal
Si 0.000 0.000 0.000
Si 0.500 0.500 0.000
Sn 0.146 0.646 0.500
Sn 0.646 0.854 0.500
Sn 0.854 0.354 0.500
Sn 0.354 0.146 0.500
Zr 0.332 0.832 0.000
Zr 0.832 0.668 0.000
Zr 0.668 0.168 0.000
Zr 0.168 0.332 0.000
CELL_PARAMETERS angstrom
-3.698 -6.084 -0.534
1.874 -0.536 -6.869
3.618 -2.302 1.167
! Spin magnetization (μB/f.u.): 0.00
! Raw total energy (eV per cell): -64.96
! Volume (Å³/f.u.): 113.3
! Uncorrected formation energy (kcal/mol of atoms): -9.024
! SG: No. 127

***

3.
! Th4PCN2, optimized geometry, DFT PBE-GGA; values from VASP
&SYSTEM
  ibrav = 0, nat = 8, ntyp = 4
/
ATOMIC_SPECIES
Th 232.04 Th.upf
P 30.97 P.upf
C 12.01 C.upf
N 14.01 N.upf
ATOMIC_POSITIONS crystal
Th 0.463 0.099 0.537
Th 0.099 0.901 0.463
Th 0.901 0.537 0.099
Th 0.537 0.463 0.901
P 0.000 0.000 0.000
C 0.500 0.500 0.500
N 0.250 0.250 0.250
N 0.750 0.750 0.750
CELL_PARAMETERS angstrom
6.642 0.000 0.000
3.321 5.042 0.130
3.321 0.543 5.015
! Spin magnetization (μB/f.u.): 0.00
! Raw total energy (eV per cell): -68.10
! Volume (Å³/f.u.): 167.5
! Uncorrected formation energy (kcal/mol of atoms): -20.573
! SG: No. 121

***

4.
! BaMg2W, optimized geometry, DFT PBE-GGA; values from VASP
&SYSTEM
  ibrav = 0, nat = 4, ntyp = 3
/
ATOMIC_SPECIES
Ba 137.33 Ba.upf
Mg 24.30 Mg.upf
W 183.84 W.upf
ATOMIC_POSITIONS crystal
Ba 0.750 0.250 0.500
Mg 0.000 0.000 0.000
Mg 0.500 0.500 0.000
W 0.250 0.750 0.500
CELL_PARAMETERS angstrom
-3.057 -0.030 4.626
-0.635 -5.407 1.052
4.722 2.751 -0.938
! Spin magnetization (μB/f.u.): 2.59
! Raw total energy (eV per cell): -14.29
! Volume (Å³/f.u.): 103.2
! ΔH_f (0 K) (meV/atom): 943.3
! Energy above the most stable polymorph in this dataset (kJ/mol of atoms): 31.4
! SG: No. 139

***

5.
! Ga3Cu3Sn, optimized geometry, DFT PBE-GGA; values from VASP
&SYSTEM
  ibrav = 0, nat = 14, ntyp = 3
/
ATOMIC_SPECIES
Cu 63.55 Cu.upf
Sn 118.71 Sn.upf
Ga 69.72 Ga.upf
ATOMIC_POSITIONS crystal
Cu 0.000 0.250 0.500
Cu 0.000 0.750 0.500
Cu 0.500 0.000 0.750
Cu 0.750 0.500 0.000
Cu 0.500 0.000 0.250
Cu 0.250 0.500 0.000
Sn 0.500 0.500 0.500
Sn 0.000 0.000 0.000
Ga 0.250 0.000 0.500
Ga 0.000 0.500 0.250
Ga 0.500 0.750 0.000
Ga 0.750 0.000 0.500
Ga 0.000 0.500 0.750
Ga 0.500 0.250 0.000
CELL_PARAMETERS angstrom
-3.861 -0.682 5.471
5.156 -2.813 3.288
1.953 6.077 2.136
! Spin magnetization (μB/f.u.): 0.00
! Raw total energy (eV per cell): -44.96
! Volume (Å³/f.u.): 152.5
! ΔH_f (0 K) (meV/atom): 413.4
! SG: No. 223

***

6.
! Pu2Zn5Pt3, optimized geometry, DFT PBE-GGA; values from VASP
&SYSTEM
  ibrav = 0, nat = 20, ntyp = 3
/
ATOMIC_SPECIES
Pu 244.00 Pu.upf
Zn 65.41 Zn.upf
Pt 195.08 Pt.upf
ATOMIC_POSITIONS crystal
Pu 0.481 0.772 0.962
Pu 0.176 0.712 0.352
Pu 0.824 0.212 0.648
Pu 0.519 0.272 0.038
Zn 0.395 0.423 0.790
Zn 0.293 0.508 0.586
Zn 0.707 0.008 0.414
Zn 0.127 0.256 0.254
Zn 0.295 0.888 0.590
Zn 0.946 0.094 0.891
Zn 0.705 0.388 0.410
Zn 0.873 0.756 0.746
Zn 0.054 0.594 0.109
Zn 0.605 0.923 0.210
Pt 0.767 0.695 0.535
Pt 0.609 0.529 0.218
Pt 0.048 0.988 0.097
Pt 0.233 0.195 0.465
Pt 0.952 0.488 0.903
Pt 0.391 0.029 0.782
CELL_PARAMETERS angstrom
0.356 -2.871 -3.247
5.668 -2.532 2.860
-7.046 -6.682 8.049
! Spin magnetization (μB/f.u.): 10.84
! Raw total energy (eV per cell): -116.81
! Volume (Å³/f.u.): 184.6
! ΔH_f (0 K) (meV/atom): -524.9
! SG: No. 36

***

7.
! NbNi2Bi, optimized geometry, DFT PBE-GGA; values from VASP
&SYSTEM
  ibrav = 0, nat = 8, ntyp = 3
/
ATOMIC_SPECIES
Ni 58.69 Ni.upf
Nb 92.91 Nb.upf
Bi 208.98 Bi.upf
ATOMIC_POSITIONS crystal
Ni 0.569 0.125 0.250
Ni 0.181 0.625 0.250
Ni 0.375 0.431 0.750
Ni 0.875 0.819 0.750
Nb 0.500 0.500 0.000
Nb 0.250 0.750 0.500
Bi 0.000 0.000 0.000
Bi 0.750 0.250 0.500
CELL_PARAMETERS angstrom
4.195 0.000 0.000
0.000 4.195 0.000
2.097 2.097 8.383
! Spin magnetization (μB/f.u.): 0.00
! Raw total energy (eV per cell): -46.91
! Volume (Å³/f.u.): 73.8
! ΔH_f (0 K) (meV/atom): 514.5
! SG: No. 122

***

8.
! TlIn2FeGe, optimized geometry, DFT PBE-GGA; values from VASP
&SYSTEM
  ibrav = 0, nat = 5, ntyp = 4
/
ATOMIC_SPECIES
Fe 55.84 Fe.upf
Tl 204.38 Tl.upf
Ge 72.64 Ge.upf
In 114.82 In.upf
ATOMIC_POSITIONS crystal
Fe 0.000 0.000 0.000
Tl 0.500 0.500 0.500
Ge 0.000 0.000 0.500
In 0.000 0.500 0.000
In 0.500 0.000 0.000
CELL_PARAMETERS angstrom
-2.080 2.713 3.781
-4.630 -0.787 -1.981
-0.421 -3.795 2.491
! Spin magnetization (μB/f.u.): 0.84
! Raw total energy (eV per cell): -20.41
! Volume (Å³/f.u.): 118.4
! ΔH_f (0 K) (meV/atom): 102.8
! SG: No. 123